First-principles (PBE) data for an optimized crystal structure of CsYCl3, as listed in the Alexandria database.

Unit cell a=9.841 b=6.629 c=7.816 alpha=113.39 beta=59.47 gamma=102.54
Fractional positions:
Cl: 0.060 0.755 0.134
Y: 0.800 0.909 0.205
Y: 0.930 0.466 0.365
Cl: 0.516 0.938 0.275
Cs: 0.607 0.200 0.911
Cl: 0.883 0.622 0.760
Cs: 0.267 0.392 0.628
Cl: 0.930 0.194 0.992
Cl: 0.668 0.682 0.483
Cl: 0.221 0.367 0.210

Output
E_form (uncorrected) in eV per atom: -1.933

***

First-principles (PBE) data for an optimized crystal structure of Rb2PrInSe4, as listed in the Alexandria database.

Unit cell a=8.981 b=8.981 c=9.050 alpha=120.24 beta=120.24 gamma=90.82
Fractional positions:
Se: 0.241 0.706 0.474
Se: 0.759 0.294 0.526
Rb: 0.500 0.000 0.000
Se: 0.239 0.262 0.456
Pr: 0.000 0.500 0.000
Se: 0.238 0.261 0.044
In: 0.000 0.000 0.000
Se: 0.794 0.259 0.026
Se: 0.761 0.738 0.544
Rb: 0.500 0.000 0.500
Se: 0.762 0.739 0.956
In: 0.500 0.500 0.500
Pr: 0.000 0.500 0.500
Rb: 0.000 0.000 0.500
Se: 0.206 0.741 0.974
Rb: 0.500 0.500 0.000

Output
E_form (uncorrected) in eV per atom: -1.191

***

First-principles (PBE) data for an optimized crystal structure of CeCo12C4, as listed in the Alexandria database.

Unit cell a=6.217 b=6.217 c=6.217 alpha=109.47 beta=109.47 gamma=109.47
Site moments in Bohr magnetons follow the coordinates.
Fractional positions:
C: 0.500 0.500 0.500  -0.04
Co: 0.805 0.332 0.137  0.91
C: 0.500 0.000 0.000  -0.04
Ce: 0.000 0.000 0.000  -0.57
C: 0.000 0.500 0.000  -0.04
Co: 0.863 0.195 0.668  0.91
Co: 0.805 0.668 0.473  0.91
C: 0.000 0.000 0.500  -0.04
Co: 0.527 0.195 0.332  0.91
Co: 0.668 0.473 0.805  0.91
Co: 0.473 0.805 0.668  0.91
Co: 0.195 0.332 0.527  0.91
Co: 0.195 0.668 0.863  0.91
Co: 0.332 0.137 0.805  0.91
Co: 0.332 0.527 0.195  0.91
Co: 0.137 0.805 0.332  0.91
Co: 0.668 0.863 0.195  0.91

Output
DFT formation energy in eV/atom: 0.232

***

First-principles (PBE) data for an optimized crystal structure of UPa3S4, as listed in the Alexandria database.

Unit cell a=6.600 b=6.884 c=7.777 alpha=90.00 beta=90.00 gamma=109.40
Site moments in Bohr magnetons follow the coordinates.
Fractional positions:
Pa: 0.250 0.500 0.375  0.19
S: 0.999 0.249 0.626  -0.02
Pa: 0.750 0.500 0.625  0.19
S: 0.500 0.752 0.124  -0.03
S: 0.001 0.751 0.374  -0.02
U: 0.250 0.000 0.125  2.24
S: 0.000 0.248 0.124  -0.03
Pa: 0.250 0.000 0.626  0.43
Pa: 0.750 0.000 0.374  0.43
S: 0.499 0.249 0.374  -0.02
Pa: 0.750 0.500 0.125  0.31
S: 0.500 0.248 0.876  -0.03
U: 0.750 0.000 0.875  2.24
S: 0.501 0.751 0.626  -0.02
Pa: 0.250 0.500 0.875  0.31
S: 0.000 0.752 0.876  -0.03

Output
E_form (uncorrected) in eV per atom: -1.549

***

| no. | total moment (μB per formula unit) | E (eV per atom) |
| --- | --- | --- |
| 1 | 0.000 | -4.505 |
| 2 | 0.000 | -4.115 |
| 3 | 9.873 | -7.304 |
| 4 | 3.617 | -8.585 |